(1)
Here is an optimized crystal structure of HoBOs from Alexandria. Energies are from GGA-PBE.

Cell and atoms, written as POSCAR:
```
HoBOs
1.0
-1.505 1.505 4.946
1.505 -1.505 4.946
1.505 1.505 -4.946
Ho B Os
1 1 1
Cartesian
0.000 0.000 0.000
0.000 0.000 6.979
0.000 0.000 2.773
```

- DOS at the Fermi energy: 0.591 states/eV per atom
- Energy of formation: -0.139 eV/atom
- Polymorph energy (0 for the lowest one): 0.2545 eV per atom
- Energy: -22.90 eV per cell

***

(2)
Here is an optimized crystal structure of HoB3Os from Alexandria. Energies are from GGA-PBE.

Cell and atoms, written as POSCAR:
```
HoB3Os
1.0
1.534 -6.866 0.000
1.534 6.866 0.000
0.000 0.000 5.490
Ho B Os
2 6 2
Cartesian
1.534 5.558 4.117
1.534 -5.558 1.372
1.534 4.014 1.372
1.534 2.978 2.830
1.534 2.978 5.405
1.534 -2.978 0.085
1.534 -2.978 2.660
1.534 -4.014 4.117
1.534 1.237 4.117
1.534 -1.237 1.372
```

- DOS at the Fermi energy: 0.158 states/eV per atom
- Energy of formation: -0.124 eV/atom
- Energy: -72.92 eV per cell

***

(3)
Here is an optimized crystal structure of HoBOs from Alexandria. Energies are from GGA-PBE.

Cell and atoms, written as POSCAR:
```
HoBOs
1.0
3.659 0.000 0.000
-1.829 3.169 0.000
0.000 0.000 4.253
Ho B Os
1 1 1
Cartesian
0.000 0.000 0.000
0.000 2.112 2.127
1.829 1.056 2.127
```

- DOS at the Fermi energy: 0.438 states/eV per atom
- Energy of formation: -0.394 eV/atom
- Polymorph energy (0 for the lowest one): 0.0000 eV per atom
- Energy: -23.67 eV per cell